# 1
Entry from Alexandria via LeMat-Bulk: a relaxed structure of Te2RhPbO8 (PBE).

a = 5.5622 Å, b = 5.5622 Å, c = 6.9837 Å
α = 90.00°, β = 90.00°, γ = 120.00°
With the nearest neighbours (Å) after each atom.
Fractional coordinates of all 12 atoms:
Te1 0.6667 0.3333 0.3117  4 O 1.83-2.00
Te2 0.3333 0.6667 0.6883  4 O 1.83-2.00
Rh1 0.0000 0.0000 0.5000  6 O 1.98
Pb1 0.0000 0.0000 0.0000  6 O 2.80
O1 0.3333 0.6667 0.9508  1 Te 1.83
O2 0.2856 0.2858 0.3299  1 Rh 1.98, 1 Te 2.00
O3 0.7142 0.9998 0.3299  1 Rh 1.98, 1 Te 2.00
O4 0.6667 0.3333 0.0492  1 Te 1.83
O5 0.2858 0.0002 0.6701  1 Rh 1.98, 1 Te 2.00
O6 0.7144 0.7142 0.6701  1 Rh 1.98, 1 Te 2.00
O7 0.9998 0.2856 0.6701  1 Rh 1.98, 1 Te 2.00
O8 0.0002 0.7144 0.3299  1 Rh 1.98, 1 Te 2.00

Properties
Space group: P-3
Total moment, μB per cell: 0.62
E_tot, eV for the cell shown: -66.104

# 2
Entry from Alexandria via LeMat-Bulk: a relaxed structure of TlRh3Pb2O8 (PBE).

a = 6.3851 Å, b = 6.3851 Å, c = 6.9716 Å
α = 62.75°, β = 62.75°, γ = 60.00°
With the nearest neighbours (Å) after each atom.
Fractional coordinates of all 14 atoms:
Tl1 0.8708 0.8708 0.3876  4 O 2.40-2.67
Rh1 0.5002 0.9975 0.0021  6 O 2.03-2.10
Rh2 0.9975 0.5002 0.0021  6 O 2.03-2.10
Rh3 0.5002 0.5002 0.0021  6 O 2.03-2.10
Pb1 0.1213 0.1213 0.6362  3 O 2.31
Pb2 0.5011 0.5011 0.4966  6 O 2.47-2.49
O1 0.2768 0.2768 0.1697  3 Rh 2.10
O2 0.7206 0.7206 0.8383  3 Rh 2.07
O3 0.2477 0.2477 0.8143  2 Rh 2.08, 1 Pb 2.31
O4 0.6903 0.2477 0.8143  2 Rh 2.08, 1 Pb 2.31
O5 0.2477 0.6903 0.8143  2 Rh 2.08, 1 Pb 2.31
O6 0.7521 0.3143 0.1815  2 Rh 2.03
O7 0.3143 0.7521 0.1815  2 Rh 2.03
O8 0.7521 0.7521 0.1815  2 Rh 2.03

Properties
Space group: R3m
Total moment, μB per cell: 0.00
E_tot, eV for the cell shown: -83.100

# 3
Entry from Alexandria via LeMat-Bulk: a relaxed structure of TlRhPb2O6 (PBE).

a = 5.6720 Å, b = 6.0949 Å, c = 8.2508 Å
α = 90.00°, β = 89.27°, γ = 90.00°
With the nearest neighbours (Å) after each atom.
Fractional coordinates of all 20 atoms:
Tl1 0.5000 0.0000 0.0000  6 O 2.33-2.40
Tl2 0.0000 0.5000 0.5000  6 O 2.33-2.40
Rh1 0.5000 0.0000 0.5000  6 O 2.01-2.03
Rh2 0.0000 0.5000 0.0000  6 O 2.01-2.03
Pb1 0.0090 0.9559 0.2679  6 O 2.38-2.54
Pb2 0.5090 0.5441 0.7679  6 O 2.38-2.54
Pb3 0.9910 0.0441 0.7321  6 O 2.38-2.54
Pb4 0.4910 0.4559 0.2321  6 O 2.38-2.54
O1 0.3039 0.6666 0.0277  1 Rh 2.02
O2 0.8039 0.8334 0.5277  1 Rh 2.02
O3 0.6961 0.3334 0.9723  1 Rh 2.02
O4 0.1961 0.1666 0.4723  1 Rh 2.02
O5 0.3187 0.7360 0.4177  1 Rh 2.03
O6 0.8187 0.7640 0.9177  1 Rh 2.03
O7 0.6813 0.2640 0.5823  1 Rh 2.03
O8 0.1813 0.2360 0.0823  1 Rh 2.03
O9 0.8917 0.5743 0.2263  1 Rh 2.01
O10 0.3917 0.9257 0.7263  1 Rh 2.01
O11 0.1083 0.4257 0.7737  1 Rh 2.01
O12 0.6083 0.0743 0.2737  1 Rh 2.01

Properties
Space group: P2_1/c
Total moment, μB per cell: 0.00
E_tot, eV for the cell shown: -110.024